No. 1
Compound: Hf2MgGa
Source: OQMD via LeMat-Bulk
Functional: GGA-PBE
Structure: relaxed

POSCAR file:
```
Hf2MgGa
1.0
1.683 -2.520 3.782
-0.139 1.921 4.447
-3.079 -1.758 3.304
Ga Hf Mg
1 2 1
direct
0.500 0.500 0.500 Ga
0.000 0.000 0.000 Hf
0.750 0.750 0.750 Hf
0.250 0.250 0.250 Mg
```

No. 2
Compound: HfMgGa
Source: OQMD via LeMat-Bulk
Functional: GGA-PBE
Structure: relaxed

POSCAR file:
```
HfMgGa
1.0
-0.301 -0.358 4.613
-2.673 2.944 2.385
-3.926 -1.500 1.958
Ga Hf Mg
1 1 1
direct
0.250 0.250 0.250 Ga
0.000 0.000 0.000 Hf
0.750 0.750 0.750 Mg
```

no.,M_tot (μB/f.u.),VASP energy (eV per atom)
1,2.0,-5.890
2,0.0,-4.390